No. 1
First-principles (PBE) data for crystalline Pa2CoPd at its relaxed geometry, as listed in Alexandria.

For the calculated density, the calculation gives 12.352 g cm⁻³. The calculation puts the density of states at the Fermi level at 1.340 states/eV per atom. As for the formation energy: 54 meV/atom. The magnetic moment comes out at 0.000 μB/f.u.

It has space group R-3m (No. 166, hexagonal axes), with a = 3.2820 Å, b = 3.2820 Å, c = 27.1255 Å, α = 90.00°, β = 90.00° and γ = 120.00°. The distinct sites, in fractional coordinates, are Pa at (0.0000, 0.0000, 0.0988), Co at (0.0000, 0.0000, 0.5000) and Pd at (0.0000, 0.0000, 0.0000).

No. 2
First-principles (PBE) data for crystalline PaCoPd at its relaxed geometry, as listed in Alexandria.

For the calculated density, the calculation gives 12.029 g cm⁻³. Its polymorph energy (0 for the lowest one) is 326 meV per atom. The calculation puts the density of states at the Fermi level at 1.933 states/eV per atom. As for the formation energy: -215 meV/atom. The magnetic moment comes out at 0.659 μB/f.u.

It has space group P-6m2 (No. 187), with a = 4.3435 Å, b = 4.3435 Å, c = 3.3492 Å, α = 90.00°, β = 90.00° and γ = 120.00°. The distinct sites, in fractional coordinates, are Pa at (0.0000, 0.0000, 0.0000), Co at (0.6667, 0.3333, 0.5000) and Pd at (0.3333, 0.6667, 0.5000).

No. 3
First-principles (PBE) data for crystalline PaCo2Pd at its relaxed geometry, as listed in Alexandria.

For the calculated density, the calculation gives 12.325 g cm⁻³. Its polymorph energy (0 for the lowest one) is 229 meV per atom. The calculation puts the density of states at the Fermi level at 0.553 states/eV per atom. As for the formation energy: -207 meV/atom. The magnetic moment comes out at 0.000 μB/f.u.

It has space group P4/mmm (No. 123), with a = 3.326 Å, b = 3.326 Å, c = 5.545 Å, α = 90.00°, β = 90.00° and γ = 90.00°. The distinct sites, in fractional coordinates, are Pa at (0.000, 0.000, 0.000), Co at (0.500, 0.500, 0.235) and Pd at (0.000, 0.000, 0.500).

No. 4
First-principles (PBE) data for crystalline PaCoPd2 at its relaxed geometry, as listed in Alexandria.

For the calculated density, the calculation gives 11.951 g cm⁻³. Its polymorph energy (0 for the lowest one) is 379 meV per atom. The calculation puts the density of states at the Fermi level at 0.627 states/eV per atom. As for the formation energy: -215 meV/atom. The magnetic moment comes out at 0.162 μB/f.u.

It has space group Fm-3m (No. 225), with a = 6.538 Å, b = 6.538 Å, c = 6.538 Å, α = 90.00°, β = 90.00° and γ = 90.00°. The distinct sites, in fractional coordinates, are Pa at (0.000, 0.000, 0.000), Co at (0.000, 0.000, 0.500) and Pd at (0.250, 0.250, 0.250).

No. 5
First-principles (PBE) data for crystalline PaCoPd at its relaxed geometry, as listed in Alexandria.

For the calculated density, the calculation gives 12.239 g cm⁻³. Its polymorph energy (0 for the lowest one) is 231 meV per atom. The calculation puts the density of states at the Fermi level at 1.100 states/eV per atom. As for the formation energy: -310 meV/atom. The magnetic moment comes out at 0.000 μB/f.u.

It has space group C2/m (No. 12), with a = 4.992 Å, b = 4.994 Å, c = 8.944 Å, α = 90.00°, β = 105.26° and γ = 90.00°. The distinct sites, in fractional coordinates, are Pa at (0.120, 0.000, 0.225), Co at (0.250, 0.250, 0.000) and Pd at (0.208, 0.500, 0.410).

No. 6
First-principles (PBE) data for crystalline PaCoPd2 at its relaxed geometry, as listed in Alexandria.

For the calculated density, the calculation gives 12.643 g cm⁻³. Its polymorph energy (0 for the lowest one) is 0 meV per atom. The calculation puts the density of states at the Fermi level at 0.172 states/eV per atom. As for the formation energy: -594 meV/atom. The magnetic moment comes out at 0.000 μB/f.u.

It has space group P4/mmm (No. 123), with a = 3.932 Å, b = 3.932 Å, c = 4.271 Å, α = 90.00°, β = 90.00° and γ = 90.00°. The distinct sites, in fractional coordinates, are Pa at (0.000, 0.000, 0.000), Co at (0.500, 0.500, 0.000) and Pd at (0.000, 0.500, 0.500).

No. 7
First-principles (PBE) data for crystalline PaCo2Pd at its relaxed geometry, as listed in Alexandria.

For the calculated density, the calculation gives 12.498 g cm⁻³. Its polymorph energy (0 for the lowest one) is 0 meV per atom. The calculation puts the density of states at the Fermi level at 0.679 states/eV per atom. As for the formation energy: -436 meV/atom. The magnetic moment comes out at 0.513 μB/f.u.

It has space group P4/mmm (No. 123), with a = 4.041 Å, b = 4.041 Å, c = 3.705 Å, α = 90.00°, β = 90.00° and γ = 90.00°. The distinct sites, in fractional coordinates, are Pa at (0.000, 0.000, 0.000), Co at (0.000, 0.500, 0.500) and Pd at (0.500, 0.500, 0.000).

No. 8
First-principles (PBE) data for crystalline PmPaCoPd at its relaxed geometry, as listed in Alexandria.

For the calculated density, the calculation gives 10.812 g cm⁻³. The calculation puts the density of states at the Fermi level at 1.413 states/eV per atom. As for the formation energy: -201 meV/atom. The magnetic moment comes out at 0.058 μB/f.u.

It has space group F-43m (No. 216), with a = 6.928 Å, b = 6.928 Å, c = 6.928 Å, α = 90.00°, β = 90.00° and γ = 90.00°. The distinct sites, in fractional coordinates, are Pm at (0.000, 0.000, 0.000), Pa at (0.000, 0.000, 0.500), Co at (0.250, 0.250, 0.250) and Pd at (0.250, 0.250, 0.750).

No. 9
First-principles (PBE) data for crystalline PuPaCoPd at its relaxed geometry, as listed in Alexandria.

For the calculated density, the calculation gives 15.280 g cm⁻³. The calculation puts the density of states at the Fermi level at 0.961 states/eV per atom. As for the formation energy: -392 meV/atom. The magnetic moment comes out at 4.307 μB/f.u.

It has space group F-43m (No. 216), with a = 6.529 Å, b = 6.529 Å, c = 6.529 Å, α = 90.00°, β = 90.00° and γ = 90.00°. The distinct sites, in fractional coordinates, are Pu at (0.000, 0.000, 0.000), Pa at (0.250, 0.250, 0.750), Co at (0.000, 0.000, 0.500) and Pd at (0.250, 0.250, 0.250).

No. 10
First-principles (PBE) data for crystalline PaCoPdRh at its relaxed geometry, as listed in Alexandria.

For the calculated density, the calculation gives 12.827 g cm⁻³. The calculation puts the density of states at the Fermi level at 0.676 states/eV per atom. As for the formation energy: -659 meV/atom. The magnetic moment comes out at 0.474 μB/f.u.

It has space group Pmmm (No. 47), with a = 3.863 Å, b = 4.082 Å, c = 4.099 Å, α = 90.00°, β = 90.00° and γ = 90.00°. The distinct sites, in fractional coordinates, are Pa at (0.000, 0.000, 0.000), Co at (0.500, 0.500, 0.000), Pd at (0.000, 0.500, 0.500) and Rh at (0.500, 0.000, 0.500).

No. 11
First-principles (PBE) data for crystalline Pa2CoPdS5 at its relaxed geometry, as listed in Alexandria.

As for the uncorrected formation energy: -1140 meV/atom. For the calculated density, the calculation gives 7.916 g cm⁻³. The calculation puts the density of states at the Fermi level at 0.923 states/eV per atom. The magnetic moment comes out at 1.067 μB/f.u.

It has space group Cmc2_1 (No. 36), with a = 3.743 Å, b = 15.938 Å, c = 11.080 Å, α = 90.00°, β = 90.00° and γ = 90.00°. The distinct sites, in fractional coordinates, are Pa at (0.000, 0.116, 0.000), Pa at (0.000, 0.122, 0.357), Co at (0.000, 0.439, 0.090), Pd at (0.000, 0.146, 0.728), S at (0.000, 0.003, 0.672), S at (0.000, 0.302, 0.348), S at (0.000, 0.311, 0.008), S at (0.000, 0.335, 0.675) and S at (0.000, 0.499, 0.413).

No. 12
First-principles (PBE) data for crystalline Pa2Co3Si4Pd at its relaxed geometry, as listed in Alexandria.

As for the uncorrected formation energy: -783 meV/atom. For the calculated density, the calculation gives 9.356 g cm⁻³. The calculation puts the density of states at the Fermi level at 0.511 states/eV per atom. The magnetic moment comes out at 0.441 μB/f.u.

It has space group P-4m2 (No. 115), with a = 3.966 Å, b = 3.966 Å, c = 9.675 Å, α = 90.00°, β = 90.00° and γ = 90.00°. The distinct sites, in fractional coordinates, are Pa at (0.000, 0.500, 0.240), Co at (0.000, 0.500, 0.875), Co at (0.500, 0.500, 0.500), Si at (0.000, 0.000, 0.000), Si at (0.000, 0.500, 0.642), Si at (0.500, 0.500, 0.000) and Pd at (0.000, 0.000, 0.500).

Question: calculated density of number 12 (Pa2Co3Si4Pd)?
Answer: 9.356 g cm⁻³